A relaxed AlNiIr2 crystal, computed with PBE.

Total energy (eV/atom): -7.1426
Crystal system: monoclinic

Unit cell a=2.7454 b=3.7301 c=5.2858 alpha=90.00 beta=90.10 gamma=90.00
Last column: nearest neighbours and their distance in Å.
Space group Pm (No. 6)
Asymmetric unit:
Al 0.0000 0.0000 0.0000 x1  6 Ir 2.53-2.76, 4 Ni 2.67, 2 Al 2.75
Ni 0.4995 0.5000 0.2514 x1  6 Ir 2.61-2.65, 4 Al 2.67, 2 Ni 2.75
Ir 0.5004 0.5000 0.7494 x1  2 Ni 2.63-2.65, 4 Al 2.67, 6 Ir 2.72-2.75
Ir 0.9993 0.0000 0.4784 x1  2 Al 2.53-2.76, 4 Ni 2.61, 6 Ir 2.72-2.75

A relaxed NbMo2HIr crystal, computed with PBE.

Crystal system: tetragonal
Offset from the most stable computed form (meV/atom): 0

Unit cell a=4.0093 b=4.0093 c=4.1190 alpha=90.00 beta=90.00 gamma=90.00
Last column: nearest neighbours and their distance in Å.
Space group P4/mmm (No. 123)
Asymmetric unit:
Nb 0.0000 0.0000 0.0000 x1  2 H 2.06
Mo 0.0000 0.5000 0.5000 x2  2 H 2.00
H 0.0000 0.0000 0.5000 x1  4 Mo 2.00, 2 Nb 2.06
Ir 0.5000 0.5000 0.0000 x1  4 Nb 2.84, 8 Mo 2.87

A relaxed Ba2TcPtO6 crystal, computed with PBE.

Uncorrected formation energy (meV/atom): -1776
Crystal system: triclinic

Unit cell a=5.2709 b=5.5178 c=6.2445 alpha=116.14 beta=107.78 gamma=90.03
Last column: nearest neighbours and their distance in Å.
Space group P-1 (No. 2)
Asymmetric unit:
Ba 0.2181 0.2311 0.4623 x2  7 O 2.66-2.85
Tc 0.0000 0.5000 0.0000 x1  6 O 1.93-1.97
Pt 0.5000 0.0000 0.0000 x1  4 O 2.02
O 0.2025 0.1937 0.8897 x2  1 Tc 1.97, 1 Pt 2.02
O 0.2039 0.6946 0.8892 x2  1 Tc 1.97, 1 Pt 2.02
O 0.2462 0.6721 0.3447 x2  1 Tc 1.93

A relaxed Tl3Br crystal, computed with PBE.

Uncorrected formation energy (meV/atom): -295
Crystal system: orthorhombic
Offset from the most stable computed form (meV/atom): 4

Unit cell a=7.1263 b=10.7381 c=6.8981 alpha=90.00 beta=90.00 gamma=90.00
Last column: nearest neighbours and their distance in Å.
Space group Pnma (No. 62)
Asymmetric unit:
Tl 0.0128 0.2500 0.2001 x4  2 Br 3.22-3.49, 2 Tl 3.57
Tl 0.2361 0.0240 0.5644 x8  3 Br 3.30-3.59, 5 Tl 3.49-3.62
Br 0.1278 0.7500 0.3556 x4  8 Tl 3.22-3.59

A relaxed B2RuBr crystal, computed with PBE.

Uncorrected formation energy (meV/atom): 837
Crystal system: tetragonal
Offset from the most stable computed form (meV/atom): 0

Unit cell a=5.2168 b=5.2168 c=9.7857 alpha=90.00 beta=90.00 gamma=90.00
Last column: nearest neighbours and their distance in Å.
Space group I-42d (No. 122)
Asymmetric unit:
B 0.1700 0.2500 0.1250 x8  2 Ru 2.00
Ru 0.0000 0.0000 0.0000 x4  4 B 2.00
Br 0.0000 0.0000 0.5000 x4  4 B 2.48

A relaxed Rb2SrAg2Cl6 crystal, computed with PBE.

Uncorrected formation energy (meV/atom): -1532
Crystal system: monoclinic

Unit cell a=13.7037 b=7.8169 c=7.8771 alpha=90.00 beta=118.92 gamma=90.00
Last column: nearest neighbours and their distance in Å.
Space group C2/m (No. 12)
Asymmetric unit:
Rb 0.2326 0.0000 0.1827 x4  5 Cl 3.30-3.39
Sr 0.0000 0.0000 0.5000 x2  6 Cl 2.89-2.91
Ag 0.0601 0.5000 0.2176 x4  3 Cl 2.48-2.55
Cl 0.0645 0.2475 0.8120 x8  1 Ag 2.55
Cl 0.2331 0.0000 0.6018 x4  1 Ag 2.48

A relaxed SrHfS2N crystal, computed with PBE.

Uncorrected formation energy (meV/atom): 863
Crystal system: tetragonal
Offset from the most stable computed form (meV/atom): 2135

Unit cell a=5.2414 b=5.2414 c=4.2153 alpha=90.00 beta=90.00 gamma=90.00
Last column: nearest neighbours and their distance in Å.
Space group P4/mmm (No. 123)
Asymmetric unit:
Sr 0.0000 0.0000 0.0000 x1  2 N 2.11
Hf 0.5000 0.5000 0.5000 x1  8 S 3.36, 4 N 3.71
S 0.0000 0.5000 0.0000 x2  2 Sr 2.62
N 0.0000 0.0000 0.5000 x1  2 Sr 2.11

A relaxed Rb12As3Cl5 crystal, computed with PBE.

Uncorrected formation energy (meV/atom): -1021
Crystal system: cubic

Unit cell a=19.8084 b=19.8084 c=19.8084 alpha=90.00 beta=90.00 gamma=90.00
Last column: nearest neighbours and their distance in Å.
Space group Ia-3d (No. 230)
Asymmetric unit:
Rb 0.0174 0.0669 0.6545 x96  2 Cl 3.14-3.35
As 0.0000 0.2500 0.1250 x24  8 Rb 3.65-3.69
Cl 0.0000 0.0000 0.0000 x16  6 Rb 3.35
Cl 0.0000 0.2500 0.3750 x24  4 Rb 3.14